Record 1
A relaxed Ca2HfO crystal. Source: the Alexandria database, functional PBEsol.

Cell: 6.596 6.596 6.596 Å, 117.86 117.86 93.76°
Positions (direct):
Ca 0.375 0.218 0.343
Ca 0.782 0.125 0.157
Ca 0.875 0.032 0.657
Ca 0.968 0.625 0.843
Hf 0.250 0.750 0.500
Hf 0.500 0.500 0.000
O 0.000 0.000 0.000
O 0.750 0.250 0.500

Calculated values
ρ: 4.36 g cm⁻³
Electronic total energy: -5.5994 eV per atom
Total magnetic moment: 0.238 μB per atom
Crystal system: tetragonal
Formation energy from raw total energies: -230 kJ/mol of formula units



Record 2
A relaxed Ca2Hf7O16 crystal. Source: the Alexandria database, functional PBEsol.

Cell: 9.457 9.457 9.457 Å, 38.81 38.81 38.81°
Positions (direct):
Ca 0.167 0.167 0.167
Ca 0.833 0.833 0.833
Hf 0.012 0.757 0.387
Hf 0.243 0.613 0.988
Hf 0.387 0.012 0.757
Hf 0.500 0.500 0.500
Hf 0.613 0.988 0.243
Hf 0.757 0.387 0.012
Hf 0.988 0.243 0.613
O 0.074 0.074 0.074
O 0.089 0.351 0.652
O 0.172 0.740 0.467
O 0.260 0.533 0.828
O 0.262 0.262 0.262
O 0.348 0.911 0.649
O 0.351 0.652 0.089
O 0.467 0.172 0.740
O 0.533 0.828 0.260
O 0.649 0.348 0.911
O 0.652 0.089 0.351
O 0.738 0.738 0.738
O 0.740 0.467 0.172
O 0.828 0.260 0.533
O 0.911 0.649 0.348
O 0.926 0.926 0.926

Calculated values
ρ: 8.82 g cm⁻³
Electronic total energy: -10.0156 eV per atom
Total magnetic moment: 0.000 μB per atom
Crystal system: trigonal
Formation energy from raw total energies: -8550 kJ/mol of formula units



Record 3
A relaxed SrCa3Hf4O12 crystal. Source: the Alexandria database, functional PBEsol.

Cell: 5.580 7.976 5.720 Å, 90.00 90.14 90.00°
Positions (direct):
Sr 0.000 0.000 0.000
Ca 0.021 0.500 0.910
Ca 0.500 0.500 0.419
Ca 0.524 0.000 0.510
Hf 0.010 0.252 0.460
Hf 0.010 0.748 0.460
Hf 0.510 0.253 0.963
Hf 0.510 0.747 0.963
O 0.109 0.000 0.445
O 0.209 0.302 0.163
O 0.209 0.698 0.163
O 0.304 0.306 0.669
O 0.304 0.694 0.669
O 0.433 0.000 0.924
O 0.613 0.500 0.005
O 0.708 0.198 0.261
O 0.708 0.802 0.261
O 0.802 0.209 0.752
O 0.802 0.791 0.752
O 0.910 0.500 0.492

Calculated values
ρ: 7.27 g cm⁻³
Electronic total energy: -9.1038 eV per atom
Total magnetic moment: 0.000 μB per atom
Crystal system: monoclinic
Formation energy from raw total energies: -6641 kJ/mol of formula units



Record 4
A relaxed CaHf3Os crystal. Source: the Alexandria database, functional PBEsol.

Cell: 4.674 4.674 4.674 Å, 90.00 90.00 90.00°
Positions (direct):
Ca 0.000 0.000 0.000
Hf 0.000 0.000 0.500
Hf 0.000 0.500 0.000
Hf 0.500 0.000 0.000
Os 0.500 0.500 0.500

Calculated values
ρ: 12.45 g cm⁻³
Electronic total energy: -7.0077 eV per atom
Total magnetic moment: 0.000 μB per atom
Crystal system: cubic
Formation energy from the elements: 2.1639 eV per atom



Record 5
A relaxed Ca2HfScOs crystal. Source: the Alexandria database, functional PBEsol.

Cell: 5.409 5.409 4.948 Å, 90.00 90.00 90.00°
Positions (direct):
Ca 0.000 0.500 0.000
Ca 0.500 0.000 0.000
Hf 0.000 0.000 0.500
Sc 0.500 0.500 0.500
Os 0.000 0.000 0.000

Calculated values
ρ: 5.66 g cm⁻³
Electronic total energy: -6.1850 eV per atom
Total magnetic moment: 0.001 μB per atom
Crystal system: tetragonal
Formation energy from the elements: 0.5331 eV per atom



Record 6
A relaxed CaHf2ReP crystal. Source: the Alexandria database, functional PBEsol.

Cell: 4.743 4.743 4.622 Å, 90.00 90.00 90.00°
Positions (direct):
Ca 0.000 0.000 0.000
Hf 0.000 0.500 0.000
Hf 0.500 0.000 0.000
Re 0.500 0.500 0.500
P 0.000 0.000 0.500

Calculated values
ρ: 9.81 g cm⁻³
Electronic total energy: -6.2451 eV per atom
Total magnetic moment: 0.266 μB per atom
Crystal system: tetragonal
Formation energy from the elements: 2.2075 eV per atom



Record 7
A relaxed CaHfPS2 crystal. Source: the Alexandria database, functional PBEsol.

Cell: 4.847 4.847 4.911 Å, 90.00 90.00 90.00°
Positions (direct):
Ca 0.000 0.000 0.000
Hf 0.500 0.500 0.500
P 0.000 0.000 0.500
S 0.000 0.500 0.000
S 0.500 0.000 0.000

Calculated values
ρ: 4.51 g cm⁻³
Electronic total energy: -5.0139 eV per atom
Total magnetic moment: 0.000 μB per atom
Crystal system: tetragonal
Formation energy from raw total energies: 205 kJ/mol of formula units



Record 8
A relaxed CaHfP2S crystal. Source: the Alexandria database, functional PBEsol.

Cell: 4.843 4.843 4.848 Å, 90.00 90.00 90.00°
Positions (direct):
Ca 0.000 0.000 0.000
Hf 0.500 0.500 0.500
P 0.000 0.500 0.000
P 0.500 0.000 0.000
S 0.000 0.000 0.500

Calculated values
ρ: 4.56 g cm⁻³
Electronic total energy: -4.9715 eV per atom
Total magnetic moment: 0.000 μB per atom
Crystal system: tetragonal
Formation energy from raw total energies: 361 kJ/mol of formula units



Record 9
A relaxed CaHf2Pt2 crystal. Source: the Alexandria database, functional PBEsol.

Cell: 6.226 6.226 6.226 Å, 137.19 137.19 62.15°
Positions (direct):
Ca 0.000 0.000 0.000
Hf 0.250 0.750 0.500
Hf 0.750 0.250 0.500
Pt 0.378 0.378 0.000
Pt 0.622 0.622 0.000

Calculated values
ρ: 11.87 g cm⁻³
Electronic total energy: -8.2650 eV per atom
Total magnetic moment: 0.000 μB per atom
Crystal system: tetragonal
Formation energy from the elements: -0.8517 eV per atom



Record 10
A relaxed CaHfTc2Pt crystal. Source: the Alexandria database, functional PBEsol.

Cell: 4.366 4.366 4.718 Å, 90.00 90.00 90.00°
Positions (direct):
Ca 0.000 0.000 0.000
Hf 0.000 0.000 0.500
Tc 0.000 0.500 0.000
Tc 0.500 0.000 0.000
Pt 0.500 0.500 0.500

Calculated values
ρ: 11.26 g cm⁻³
Electronic total energy: -6.2982 eV per atom
Total magnetic moment: 0.000 μB per atom
Crystal system: tetragonal
Formation energy from the elements: 2.1283 eV per atom



Record 11
A relaxed Ca2HfRh2 crystal. Source: the Alexandria database, functional PBEsol.

Cell: 5.673 5.673 5.673 Å, 130.32 130.32 72.89°
Positions (direct):
Ca 0.143 0.143 0.000
Ca 0.857 0.857 0.000
Hf 0.500 0.500 0.000
Rh 0.250 0.750 0.500
Rh 0.750 0.250 0.500

Calculated values
ρ: 7.44 g cm⁻³
Electronic total energy: -5.7778 eV per atom
Total magnetic moment: 0.000 μB per atom
Crystal system: tetragonal
Formation energy from the elements: 0.4314 eV per atom



Record 12
A relaxed CaHfRh3 crystal. Source: the Alexandria database, functional PBEsol.

Cell: 4.743 4.743 4.743 Å, 90.00 90.00 90.00°
Positions (direct):
Ca 0.000 0.000 0.000
Hf 0.500 0.500 0.500
Rh 0.000 0.500 0.500
Rh 0.500 0.000 0.500
Rh 0.500 0.500 0.000

Calculated values
ρ: 8.21 g cm⁻³
Electronic total energy: -7.1686 eV per atom
Total magnetic moment: 0.000 μB per atom
Crystal system: cubic
Formation energy from the elements: 0.2418 eV per atom



Record 13
A relaxed CaHf2Rh crystal. Source: the Alexandria database, functional PBEsol.

Cell: 4.770 4.770 4.770 Å, 60.00 60.00 60.00°
Positions (direct):
Ca 0.000 0.000 0.000
Hf 0.250 0.250 0.250
Hf 0.750 0.750 0.750
Rh 0.500 0.500 0.500

Calculated values
ρ: 10.82 g cm⁻³
Electronic total energy: -7.7188 eV per atom
Total magnetic moment: 0.000 μB per atom
Crystal system: cubic
Formation energy from the elements: 0.1006 eV per atom



Record 14
A relaxed CaHfSiRh2 crystal. Source: the Alexandria database, functional PBEsol.

Cell: 4.482 4.482 4.945 Å, 90.00 90.00 90.00°
Positions (direct):
Ca 0.000 0.000 0.000
Hf 0.500 0.500 0.500
Si 0.000 0.000 0.500
Rh 0.000 0.500 0.000
Rh 0.500 0.000 0.000

Calculated values
ρ: 7.56 g cm⁻³
Electronic total energy: -5.7045 eV per atom
Total magnetic moment: 0.000 μB per atom
Crystal system: tetragonal
Formation energy from raw total energies: 592 kJ/mol of formula units



Record 15
A relaxed CaHfSc2Ru crystal. Source: the Alexandria database, functional PBEsol.

Cell: 4.939 4.939 5.277 Å, 90.00 90.00 90.00°
Positions (direct):
Ca 0.000 0.000 0.000
Hf 0.000 0.000 0.500
Sc 0.000 0.500 0.500
Sc 0.500 0.000 0.500
Ru 0.500 0.500 0.000

Calculated values
ρ: 5.28 g cm⁻³
Electronic total energy: -5.6122 eV per atom
Total magnetic moment: 0.392 μB per atom
Crystal system: tetragonal
Formation energy from the elements: 1.5915 eV per atom



Record 16
A relaxed Ca2HfSb crystal. Source: the Alexandria database, functional PBEsol.

Cell: 6.894 6.894 6.894 Å, 100.92 100.92 128.40°
Positions (direct):
Ca 0.095 0.625 0.970
Ca 0.375 0.345 0.470
Ca 0.655 0.125 0.030
Ca 0.875 0.905 0.530
Hf 0.250 0.750 0.500
Hf 0.500 0.500 0.000
Sb 0.000 0.000 0.000
Sb 0.750 0.250 0.500

Calculated values
ρ: 5.46 g cm⁻³
Electronic total energy: -4.6106 eV per atom
Total magnetic moment: 0.299 μB per atom
Crystal system: tetragonal
Formation energy from raw total energies: 85 kJ/mol of formula units



Record 17
A relaxed Ca3HfSb crystal. Source: the Alexandria database, functional PBEsol.

Cell: 5.782 5.782 5.782 Å, 90.00 90.00 90.00°
Positions (direct):
Ca 0.000 0.000 0.500
Ca 0.000 0.500 0.000
Ca 0.500 0.000 0.000
Hf 0.500 0.500 0.500
Sb 0.000 0.000 0.000

Calculated values
ρ: 3.61 g cm⁻³
Electronic total energy: -3.8279 eV per atom
Total magnetic moment: 0.880 μB per atom
Crystal system: cubic
Formation energy from raw total energies: 224 kJ/mol of formula units



Record 18
A relaxed SrCaHf2Sb crystal. Source: the Alexandria database, functional PBEsol.

Cell: 5.404 5.404 5.744 Å, 90.00 90.00 90.00°
Positions (direct):
Sr 0.000 0.000 0.000
Ca 0.500 0.500 0.000
Hf 0.000 0.500 0.500
Hf 0.500 0.000 0.500
Sb 0.500 0.500 0.500

Calculated values
ρ: 6.00 g cm⁻³
Electronic total energy: -5.4140 eV per atom
Total magnetic moment: 0.007 μB per atom
Crystal system: tetragonal
Formation energy from raw total energies: 238 kJ/mol of formula units



Record 19
A relaxed CaHfSc2Ti crystal. Source: the Alexandria database, functional PBEsol.

Cell: 5.269 5.269 4.888 Å, 90.00 90.00 90.00°
Positions (direct):
Ca 0.000 0.000 0.000
Hf 0.500 0.500 0.500
Sc 0.000 0.500 0.500
Sc 0.500 0.000 0.500
Ti 0.500 0.500 0.000

Calculated values
ρ: 4.36 g cm⁻³
Electronic total energy: -6.1515 eV per atom
Total magnetic moment: 0.000 μB per atom
Crystal system: tetragonal
Formation energy from the elements: 0.6822 eV per atom



Record 20
A relaxed CaHfSe3 crystal. Source: the Alexandria database, functional PBEsol.

Cell: 5.122 5.122 5.122 Å, 90.00 90.00 90.00°
Positions (direct):
Ca 0.000 0.000 0.000
Hf 0.500 0.500 0.500
Se 0.000 0.000 0.500
Se 0.000 0.500 0.000
Se 0.500 0.000 0.000

Calculated values
ρ: 5.63 g cm⁻³
Electronic total energy: -4.6549 eV per atom
Total magnetic moment: 0.000 μB per atom
Crystal system: cubic
Formation energy from raw total energies: 88 kJ/mol of formula units